The following is a DFT calculation (PBE) of a geometry-optimized Sr4H2Pd structure.

Unit cell a=5.795 b=5.795 c=13.310 alpha=90.00 beta=90.00 gamma=90.00
Space group I4/mmm (No. 139)
Symmetry-distinct sites (fractional):
Sr 0.000 0.000 0.240
Sr 0.000 0.500 0.000
H 0.000 0.000 0.416
Pd 0.000 0.000 0.000

Output
**VASP energy**: -2.875 eV/atom
**DOS at the Fermi energy**: 0.508 states/eV per atom